# Fe4AgXeF5 (GGA+U, relaxed)
data_Fe4AgXeF5
_chemical_formula_sum 'Fe16 Ag4 Xe4 F20'
_cell_length_a 6.931
_cell_length_b 6.931
_cell_length_c 17.728
_cell_angle_alpha 90.00
_cell_angle_beta 90.00
_cell_angle_gamma 90.00
_space_group_name_H-M_alt 'I 4/m'
_space_group_IT_number 87
_space_group_name_Hall '-I 4'
loop_
_atom_site_label
_atom_site_fract_x
_atom_site_fract_y
_atom_site_fract_z
_atom_site_occupancy
Fe1 0.103 0.706 0.191 1
Ag1 0.000 0.500 0.000 1
Xe1 0.000 0.000 0.399 1
F1 0.000 0.000 0.203 1
F2 0.089 0.304 0.109 1
# **Uncorrected energy**: -4.0903 eV per atom
# **DOS at the Fermi energy**: 1.97 states/eV/f.u.